No. 1
GGA-PBE Zr2HgI, relaxed; space group = Fm-3m; energy = -18.78 eV per cell; total moment = 0.0 Bohr magnetons per cell; E_form (uncorrected) = 0.042 eV/atom; DOS at the Fermi energy = 2.667 states/eV/atom
1.0
0.000 3.568 3.568
3.568 0.000 3.568
3.568 3.568 0.000
Zr Hg I
2 1 1
direct
0.250 0.250 0.250
0.750 0.750 0.750
0.000 0.000 0.000
0.500 0.500 0.500



No. 2
GGA-PBE Ac2ZnSn3Pd4, relaxed; energy of formation = -778 meV per atom; space group = P-4m2; energy = -50.06 eV per cell; total moment = 0.0 Bohr magnetons per cell; DOS at the Fermi energy = 0.541 states/eV/atom
1.0
4.661 0.000 0.000
0.000 4.661 0.000
0.000 0.000 10.705
Ac Zn Sn Pd
2 1 3 4
direct
0.000 0.500 0.250
0.500 0.000 0.750
0.000 0.000 0.500
0.000 0.500 0.872
0.500 0.000 0.128
0.500 0.500 0.500
0.000 0.000 0.000
0.000 0.500 0.623
0.500 0.000 0.377
0.500 0.500 0.000



No. 3
GGA-PBE Sr2CuAs, relaxed; energy of formation = -630 meV per atom; space group = Cm; energy = -14.63 eV per cell; total moment = 0.0 Bohr magnetons per cell; DOS at the Fermi energy = 0.185 states/eV/atom
1.0
5.836 -2.199 0.000
5.836 2.199 0.000
-0.001 0.000 4.386
Sr Cu As
2 1 1
direct
0.000 0.000 0.000
0.722 0.722 0.501
0.422 0.422 0.499
0.292 0.292 0.001



No. 4
GGA-PBE LiNd4Er4, relaxed; energy of formation = 323 meV per atom; space group = I222; energy = -36.33 eV per cell; total moment = 0.0 Bohr magnetons per cell; DOS at the Fermi energy = 1.377 states/eV/atom
1.0
-3.159 3.949 5.758
3.159 -3.949 5.758
3.159 3.949 -5.758
Li Nd Er
1 4 4
direct
0.000 0.000 0.000
0.000 0.500 0.500
0.320 0.000 0.320
0.500 0.500 0.000
0.680 0.000 0.680
0.109 0.482 0.101
0.381 0.007 0.899
0.619 0.518 0.626
0.891 0.993 0.374



No. 5
GGA-PBE LaAl2GaF, relaxed; space group = P4/mmm; energy = -13.40 eV per cell; total moment = 0.0 Bohr magnetons per cell; E_form (uncorrected) = 0.783 eV/atom; DOS at the Fermi energy = 1.437 states/eV/atom
1.0
6.109 0.000 0.000
0.000 6.109 0.000
0.000 0.000 5.853
La Al Ga F
1 2 1 1
direct
0.000 0.000 0.000
0.000 0.500 0.000
0.500 0.000 0.000
0.000 0.000 0.500
0.500 0.500 0.500



No. 6
GGA-PBE Sn2BiH, relaxed; space group = I-42d; energy = -28.11 eV per cell; total moment = 0.0 Bohr magnetons per cell; DOS at the Fermi energy = 0.171 states/eV/atom
1.0
-2.858 2.858 6.675
2.858 -2.858 6.675
2.858 2.858 -6.675
Sn Bi H
4 2 2
direct
0.375 0.241 0.366
0.759 0.125 0.134
0.875 0.009 0.634
0.991 0.625 0.866
0.250 0.750 0.500
0.500 0.500 0.000
0.000 0.000 0.000
0.750 0.250 0.500